Record 1
VASP calculation (GGA-PBE) on a relaxed LiY2Cl2 crystal.

The calculation puts the calculated volume at 223.0 Å³ per cell. For the energy above the most stable polymorph in this dataset, the calculation gives 0 meV per atom. The uncorrected formation energy comes out at -74 kJ per mole of atoms.

The structure belongs to space group P4/mbm (No. 127); the cell edges are 8.1450, 8.1450 and 3.3616 Å and the angles 90.00°, 90.00° and 90.00°. The asymmetric unit holds Li at (0.0000, 0.0000, 0.0000), Y at (0.1687, 0.3313, 0.5000) and Cl at (0.1300, 0.6300, 0.0000).



Record 2
VASP calculation (GGA-PBE) on a relaxed Li2YCl crystal.

The calculation puts the calculated volume at 185.4 Å³ per cell. For the energy above the most stable polymorph in this dataset, the calculation gives 276 meV per atom. The uncorrected formation energy comes out at -42 kJ per mole of atoms.

The structure belongs to space group I4/mmm (No. 139); the cell edges are 3.9103, 3.9103 and 12.1261 Å and the angles 90.00°, 90.00° and 90.00°. The asymmetric unit holds Li at (0.0000, 0.5000, 0.2500), Y at (0.0000, 0.0000, 0.0000) and Cl at (0.0000, 0.0000, 0.5000).